#A
An optimized crystal structure of SrMo3C, computed with PBE-GGA.

The space group is Pm-3m (No. 221) and the conventional cell measures 4.3692, 4.3692 and 4.3692 Å, with angles of 90.00, 90.00 and 90.00 degrees. The asymmetric unit holds Sr at (0.0000, 0.0000, 0.0000), Mo at (0.0000, 0.5000, 0.5000) and C at (0.5000, 0.5000, 0.5000).

The calculated volume is 83 Å³ per cell. Its total moment is 0.00 Bohr magnetons per cell. For the density, the calculation gives 7.7 Mg/m³.


#B
An optimized crystal structure of SrMo3C, computed with PBE-GGA.

The space group is Pm-3m (No. 221) and the conventional cell measures 4.7517, 4.7517 and 4.7517 Å, with angles of 90.00, 90.00 and 90.00 degrees. The asymmetric unit holds Sr at (0.0000, 0.0000, 0.0000), Mo at (0.0000, 0.0000, 0.5000) and C at (0.5000, 0.5000, 0.5000).

The calculated volume is 107 Å³ per cell. Its total moment is 0.00 Bohr magnetons per cell. For the density, the calculation gives 6.0 Mg/m³.


Most stable: #A. Least stable: #B.